1.
Entry from the Alexandria database: a geometry-optimized Rb3NaN structure (PBE).

a b c (Å): 6.0304 6.0304 6.0304
angles (deg): 90.00 90.00 90.00
Closest atoms and distances in Å follow each position.
Fractional positions:
Na1 0.5000 0.5000 0.5000  12 Rb 4.26
Rb1 0.0000 0.5000 0.0000  2 N 3.02
Rb2 0.0000 0.0000 0.5000  2 N 3.02
Rb3 0.5000 0.0000 0.0000  2 N 3.02
N1 0.0000 0.0000 0.0000  6 Rb 3.02

Properties
The total DFT energy (no corrections) comes out at -10.01 eV/cell. Its symmetry is Pm-3m (221). The value obtained for the volume is 219.3 Å³/f.u. The size of the total moment comes out at 0.000 μB per atom. The energy relative to the elements, uncorrected is 0.51 eV/atom.


2.
Entry from the Alexandria database: a geometry-optimized Pm4DyY structure (PBE).

a b c (Å): 6.6631 6.6631 6.6631
angles (deg): 60.00 60.00 60.00
Closest atoms and distances in Å follow each position.
Fractional positions:
Y1 0.0000 0.0000 0.0000  12 Pm 3.91, 4 Dy 4.08
Pm1 0.6251 0.6251 0.1248  6 Pm 3.33
Pm2 0.6251 0.1248 0.6251  6 Pm 3.33
Pm3 0.6251 0.6251 0.6251  6 Pm 3.33
Pm4 0.1248 0.6251 0.6251  6 Pm 3.33
Dy1 0.2500 0.2500 0.2500  12 Pm 3.91, 4 Y 4.08

Properties
The total DFT energy (no corrections) comes out at -28.59 eV/cell. Its symmetry is F-43m (216). The value obtained for the volume is 209.2 Å³/f.u. The value obtained for the energy relative to the elements is 246.9 meV/atom. The size of the total moment comes out at 0.000 μB per atom.


3.
Entry from the Alexandria database: a geometry-optimized Li2TlBr3 structure (PBE).

a b c (Å): 4.3138 7.3525 12.8839
angles (deg): 109.41 99.64 90.00
Closest atoms and distances in Å follow each position.
Fractional positions:
Li1 0.2984 0.6015 0.5968  4 Br 2.50-2.57
Li2 0.7016 0.3985 0.4032  4 Br 2.50-2.57
Li3 0.9452 0.7870 0.8904  4 Br 2.57
Li4 0.0548 0.2130 0.1096  4 Br 2.57
Tl1 0.3598 0.1461 0.7196  3 Br 3.13-3.27
Tl2 0.6402 0.8539 0.2804  3 Br 3.13-3.27
Br1 0.2276 0.2574 0.4552  3 Li 2.56-2.57
Br2 0.0513 0.8598 0.1026  2 Li 2.57
Br3 0.3984 0.6172 0.7967  3 Li 2.50-2.57
Br4 0.7724 0.7426 0.5448  3 Li 2.56-2.57
Br5 0.6016 0.3828 0.2033  3 Li 2.50-2.57
Br6 0.9487 0.1402 0.8974  2 Li 2.57

Properties
The total DFT energy (no corrections) comes out at -37.91 eV/cell. Its symmetry is C2/m (12). The value obtained for the volume is 189.6 Å³/f.u. The size of the total moment comes out at 0.000 μB per atom. The energy relative to the elements, uncorrected is -1.29 eV/atom.


4.
Entry from the Alexandria database: a geometry-optimized Hf2Ti5Ga3 structure (PBE).

a b c (Å): 5.5079 8.8689 8.8689
angles (deg): 67.70 71.91 71.91
Closest atoms and distances in Å follow each position.
Fractional positions:
Hf1 0.1296 0.6427 0.0981  5 Ga 2.92-3.18, 5 Ti 2.98-3.19
Hf2 0.6296 0.0981 0.6427  5 Ga 2.92-3.18, 5 Ti 2.98-3.19
Hf3 0.8704 0.3573 0.9019  5 Ga 2.92-3.18, 5 Ti 2.98-3.19
Hf4 0.3704 0.9019 0.3573  5 Ga 2.92-3.18, 5 Ti 2.98-3.19
Ti1 0.3401 0.2306 0.0892  3 Ga 2.52-2.68, 2 Ti 2.59
Ti2 0.8401 0.0892 0.2306  3 Ga 2.52-2.68, 2 Ti 2.59
Ti3 0.6599 0.7694 0.9108  3 Ga 2.52-2.68, 2 Ti 2.59
Ti4 0.1599 0.9108 0.7694  3 Ga 2.52-2.68, 2 Ti 2.59
Ti5 0.5623 0.6877 0.6877  5 Ti 2.56-2.75, 2 Ga 2.76
Ti6 0.4377 0.3123 0.3123  5 Ti 2.56-2.75, 2 Ga 2.76
Ti7 0.7500 0.5000 0.5000  4 Ti 2.56-2.75, 4 Ga 2.65
Ti8 0.2500 0.5000 0.5000  4 Ti 2.56-2.75, 4 Ga 2.65
Ti9 0.9377 0.3123 0.3123  5 Ti 2.56-2.75, 2 Ga 2.76
Ti10 0.0623 0.6877 0.6877  5 Ti 2.56-2.75, 2 Ga 2.76
Ga1 0.4152 0.3885 0.7811  5 Ti 2.52-2.76
Ga2 0.9152 0.7811 0.3885  5 Ti 2.52-2.76
Ga3 0.5848 0.6115 0.2189  5 Ti 2.52-2.76
Ga4 0.0848 0.2189 0.6115  5 Ti 2.52-2.76
Ga5 0.2500 0.0000 0.0000  4 Ti 2.68, 2 Ga 2.75
Ga6 0.7500 0.0000 0.0000  4 Ti 2.68, 2 Ga 2.75

Properties
The total DFT energy (no corrections) comes out at -137.97 eV/cell. Its symmetry is Ibam (72). The value obtained for the volume is 185.9 Å³/f.u. The value obtained for the energy relative to the elements is -52.4 meV/atom. The size of the total moment comes out at 0.001 μB per atom.


5.
Entry from the Alexandria database: a geometry-optimized Tm6CdAu5 structure (PBE).

a b c (Å): 5.0497 8.7676 8.7676
angles (deg): 120.15 106.77 106.77
Closest atoms and distances in Å follow each position.
Fractional positions:
Tm1 0.2545 0.0840 0.4250  7 Au 3.05-3.17, 1 Cd 3.16
Tm2 0.7455 0.5750 0.9160  7 Au 3.05-3.17, 1 Cd 3.16
Tm3 0.7604 0.2603 0.2603  6 Au 3.01-3.07, 2 Cd 3.13-3.14
Tm4 0.2396 0.7397 0.7397  6 Au 3.01-3.07, 2 Cd 3.13-3.14
Tm5 0.2545 0.4250 0.0840  7 Au 3.05-3.17, 1 Cd 3.16
Tm6 0.7455 0.9160 0.5750  7 Au 3.05-3.17, 1 Cd 3.16
Au1 0.5000 0.1555 0.8445  8 Tm 3.01-3.17
Au2 0.0000 0.3320 0.6680  8 Tm 3.05-3.08
Au3 0.5000 0.5000 0.5000  8 Tm 3.05-3.13
Au4 0.0000 0.6680 0.3320  8 Tm 3.05-3.08
Au5 0.5000 0.8445 0.1555  8 Tm 3.01-3.17
Cd1 0.0000 0.0000 0.0000  8 Tm 3.13-3.16, 4 Au 3.46

Properties
The total DFT energy (no corrections) comes out at -53.68 eV/cell. Its symmetry is C2/m (12). The value obtained for the volume is 273.8 Å³/f.u. The value obtained for the energy relative to the elements is -795.7 meV/atom. The size of the total moment comes out at 0.000 μB per atom.


6.
Entry from the Alexandria database: a geometry-optimized Mn2Co structure (PBE).

a b c (Å): 5.3326 5.3326 5.3326
angles (deg): 90.00 90.00 90.00
Closest atoms and distances in Å follow each position.
Fractional positions:
Mn1 0.1076 0.6076 0.8924  1 Mn 1.99
Mn2 0.1076 0.8924 0.3924  1 Mn 1.99
Mn3 0.3924 0.1076 0.8924  1 Mn 1.99
Mn4 0.3924 0.3924 0.3924  1 Mn 1.99
Mn5 0.6076 0.6076 0.6076  1 Mn 1.99
Mn6 0.6076 0.8924 0.1076  1 Mn 1.99
Mn7 0.8924 0.1076 0.6076  1 Mn 1.99
Mn8 0.8924 0.3924 0.1076  1 Mn 1.99
Co1 0.0000 0.0000 0.0000  6 Mn 2.24
Co2 0.0000 0.5000 0.5000  6 Mn 2.24
Co3 0.5000 0.0000 0.5000  6 Mn 2.24
Co4 0.5000 0.5000 0.0000  6 Mn 2.24

Properties
The total DFT energy (no corrections) comes out at -91.28 eV/cell. Its symmetry is Pa-3 (205). The value obtained for the volume is 37.9 Å³/f.u. The value obtained for the energy relative to the elements is 875.3 meV/atom. The size of the total moment comes out at 0.220 μB per atom.


7.
Entry from the Alexandria database: a geometry-optimized SiPtRh structure (PBE).

a b c (Å): 4.0077 4.0077 4.0077
angles (deg): 60.00 60.00 60.00
Closest atoms and distances in Å follow each position.
Fractional positions:
Si1 0.7500 0.7500 0.7500  4 Rh 2.45, 4 Pt 2.45
Rh1 0.5000 0.5000 0.5000  4 Si 2.45
Pt1 0.0000 0.0000 0.0000  4 Si 2.45

Properties
The total DFT energy (no corrections) comes out at -21.24 eV/cell. Its symmetry is F-43m (216). The value obtained for the volume is 45.5 Å³/f.u. The size of the total moment comes out at 0.000 μB per atom. The energy relative to the elements, uncorrected is -0.81 eV/atom.


8.
Entry from the Alexandria database: a geometry-optimized K6Hg7 structure (PBE).

a b c (Å): 12.6555 12.6555 12.6555
angles (deg): 30.53 30.53 30.53
Closest atoms and distances in Å follow each position.
Fractional positions:
K1 0.9441 0.9441 0.9441  6 Hg 3.56, 1 K 3.64
K2 0.0559 0.0559 0.0559  6 Hg 3.56, 1 K 3.64
K3 0.8434 0.8434 0.8434  4 K 3.64-3.92, 6 Hg 3.65-3.86
K4 0.1566 0.1566 0.1566  4 K 3.64-3.92, 6 Hg 3.65-3.86
K5 0.6675 0.6675 0.6675  6 Hg 3.77-3.83, 3 K 3.85
K6 0.3325 0.3325 0.3325  6 Hg 3.77-3.83, 3 K 3.85
Hg1 0.9121 0.4080 0.4080  5 Hg 3.30-3.37, 3 K 3.56-3.65
Hg2 0.4080 0.4080 0.9121  5 Hg 3.30-3.37, 3 K 3.56-3.65
Hg3 0.4080 0.9121 0.4080  5 Hg 3.30-3.37, 3 K 3.56-3.65
Hg4 0.0879 0.5920 0.5920  5 Hg 3.30-3.37, 3 K 3.56-3.65
Hg5 0.5920 0.0879 0.5920  5 Hg 3.30-3.37, 3 K 3.56-3.65
Hg6 0.5920 0.5920 0.0879  5 Hg 3.30-3.37, 3 K 3.56-3.65
Hg7 0.5000 0.5000 0.5000  6 Hg 3.37

Properties
The total DFT energy (no corrections) comes out at -11.18 eV/cell. Its symmetry is R-3m (166). The value obtained for the volume is 463.7 Å³/f.u. The value obtained for the energy relative to the elements is -190.8 meV/atom. The size of the total moment comes out at 0.000 μB per atom.


> Which of these has the highest volume?

K6Hg7


What did the fourth record say?
Entry from the Alexandria database: a geometry-optimized Hf2Ti5Ga3 structure (PBE).

a b c (Å): 5.5079 8.8689 8.8689
angles (deg): 67.70 71.91 71.91
Closest atoms and distances in Å follow each position.
Fractional positions:
Hf1 0.1296 0.6427 0.0981  5 Ga 2.92-3.18, 5 Ti 2.98-3.19
Hf2 0.6296 0.0981 0.6427  5 Ga 2.92-3.18, 5 Ti 2.98-3.19
Hf3 0.8704 0.3573 0.9019  5 Ga 2.92-3.18, 5 Ti 2.98-3.19
Hf4 0.3704 0.9019 0.3573  5 Ga 2.92-3.18, 5 Ti 2.98-3.19
Ti1 0.3401 0.2306 0.0892  3 Ga 2.52-2.68, 2 Ti 2.59
Ti2 0.8401 0.0892 0.2306  3 Ga 2.52-2.68, 2 Ti 2.59
Ti3 0.6599 0.7694 0.9108  3 Ga 2.52-2.68, 2 Ti 2.59
Ti4 0.1599 0.9108 0.7694  3 Ga 2.52-2.68, 2 Ti 2.59
Ti5 0.5623 0.6877 0.6877  5 Ti 2.56-2.75, 2 Ga 2.76
Ti6 0.4377 0.3123 0.3123  5 Ti 2.56-2.75, 2 Ga 2.76
Ti7 0.7500 0.5000 0.5000  4 Ti 2.56-2.75, 4 Ga 2.65
Ti8 0.2500 0.5000 0.5000  4 Ti 2.56-2.75, 4 Ga 2.65
Ti9 0.9377 0.3123 0.3123  5 Ti 2.56-2.75, 2 Ga 2.76
Ti10 0.0623 0.6877 0.6877  5 Ti 2.56-2.75, 2 Ga 2.76
Ga1 0.4152 0.3885 0.7811  5 Ti 2.52-2.76
Ga2 0.9152 0.7811 0.3885  5 Ti 2.52-2.76
Ga3 0.5848 0.6115 0.2189  5 Ti 2.52-2.76
Ga4 0.0848 0.2189 0.6115  5 Ti 2.52-2.76
Ga5 0.2500 0.0000 0.0000  4 Ti 2.68, 2 Ga 2.75
Ga6 0.7500 0.0000 0.0000  4 Ti 2.68, 2 Ga 2.75

Properties
The total DFT energy (no corrections) comes out at -137.97 eV/cell. Its symmetry is Ibam (72). The value obtained for the volume is 185.9 Å³/f.u. The value obtained for the energy relative to the elements is -52.4 meV/atom. The size of the total moment comes out at 0.001 μB per atom.


> Among the records above, which one has the lowest volume?

Mn2Co